No. 1
## CsNaCdS2 (PBE)

Data for a relaxed structure of CsNaCdS2.

Lattice parameters (Å, degrees): 6.5577 15.0267 6.4349 90.00 90.00 90.00
Space group Cmme (No. 67)
One atom of each set of equivalent atoms:
Cs 0.0000 0.2500 0.2404 x4
Na 0.2500 0.0000 0.5000 x4
Cd 0.0000 0.0000 0.0000 x4
S 0.0000 0.1110 0.7417 x8

Calculated values
raw formation energy	-872	meV/atom

No. 2
## Cs2NaCdS (PBE)

Data for a relaxed structure of Cs2NaCdS.

Lattice parameters (Å, degrees): 6.9272 6.9272 5.2465 90.00 90.00 90.00
Space group P4/mmm (No. 123)
One atom of each set of equivalent atoms:
Cs 0.0000 0.5000 0.0000 x2
Na 0.0000 0.0000 0.5000 x1
Cd 0.5000 0.5000 0.5000 x1
S 0.0000 0.0000 0.0000 x1

Calculated values
raw formation energy	-497	meV/atom

No. 3
## CsNaCdSb2 (PBE)

Data for a relaxed structure of CsNaCdSb2.

Lattice parameters (Å, degrees): 5.6822 5.6822 5.9622 90.00 90.00 90.00
Space group P4/mmm (No. 123)
One atom of each set of equivalent atoms:
Cs 0.0000 0.0000 0.0000 x1
Na 0.5000 0.5000 0.5000 x1
Cd 0.5000 0.5000 0.0000 x1
Sb 0.0000 0.5000 0.5000 x2

Calculated values
raw formation energy	202	meV/atom

No. 4
## CsNa2CdSi (PBE)

Data for a relaxed structure of CsNa2CdSi.

Lattice parameters (Å, degrees): 5.8738 5.8738 5.2569 90.00 90.00 90.00
Space group P4/mmm (No. 123)
One atom of each set of equivalent atoms:
Cs 0.0000 0.0000 0.0000 x1
Na 0.0000 0.5000 0.5000 x2
Cd 0.5000 0.5000 0.0000 x1
Si 0.5000 0.5000 0.5000 x1

Calculated values
raw formation energy	86	meV/atom

No. 5
## CsNa2CdSn (PBE)

Data for a relaxed structure of CsNa2CdSn.

Lattice parameters (Å, degrees): 6.0744 6.0744 5.5438 90.00 90.00 90.00
Space group P4/mmm (No. 123)
One atom of each set of equivalent atoms:
Cs 0.0000 0.0000 0.0000 x1
Na 0.0000 0.5000 0.5000 x2
Cd 0.5000 0.5000 0.5000 x1
Sn 0.5000 0.5000 0.0000 x1

Calculated values
distance to the lowest polymorph of the same formula	68.6	meV/atom

No. 6
## Cs2Na4CdSn2 (PBE)

Data for a relaxed structure of Cs2Na4CdSn2.

Lattice parameters (Å, degrees): 14.3918 8.5049 5.7836 90.00 99.19 90.00
Space group C2/m (No. 12)
One atom of each set of equivalent atoms:
Cs 0.1088 0.0000 0.2476 x4
Na 0.1644 0.3059 0.7366 x8
Cd 0.0000 0.5000 0.0000 x2
Sn 0.1864 0.5000 0.2441 x4

Calculated values
energy	-1.8749	eV per atom

No. 7
## CsNa2CdSn (PBE)

Data for a relaxed structure of CsNa2CdSn.

Lattice parameters (Å, degrees): 6.0775 6.0775 5.8165 90.00 90.00 90.00
Space group P4/mmm (No. 123)
One atom of each set of equivalent atoms:
Cs 0.0000 0.0000 0.0000 x1
Na 0.0000 0.5000 0.5000 x2
Cd 0.5000 0.5000 0.0000 x1
Sn 0.5000 0.5000 0.5000 x1

Calculated values
distance to the lowest polymorph of the same formula	0.0	meV/atom

No. 8
## CsNa2SrCd (PBE)

Data for a relaxed structure of CsNa2SrCd.

Lattice parameters (Å, degrees): 6.3406 6.3406 6.4517 90.00 90.00 90.00
Space group P4/mmm (No. 123)
One atom of each set of equivalent atoms:
Cs 0.0000 0.0000 0.0000 x1
Na 0.0000 0.5000 0.5000 x2
Sr 0.5000 0.5000 0.0000 x1
Cd 0.5000 0.5000 0.5000 x1

Calculated values
energy	-1.1775	eV per atom

No. 9
## CsNaTaCd2 (PBE)

Data for a relaxed structure of CsNaTaCd2.

Lattice parameters (Å, degrees): 5.6263 5.6263 5.9011 90.00 90.00 90.00
Space group P4/mmm (No. 123)
One atom of each set of equivalent atoms:
Cs 0.0000 0.0000 0.0000 x1
Na 0.0000 0.0000 0.5000 x1
Ta 0.5000 0.5000 0.0000 x1
Cd 0.0000 0.5000 0.5000 x2

Calculated values
energy	-1.7057	eV per atom

No. 10
## CsNaTl6Cd (PBE)

Data for a relaxed structure of CsNaTl6Cd.

Lattice parameters (Å, degrees): 6.3572 11.5233 19.2852 90.00 90.00 90.00
Space group Imma (No. 74)
One atom of each set of equivalent atoms:
Cs 0.0000 0.2500 0.0765 x4
Na 0.0000 0.0000 0.5000 x4
Tl 0.0000 0.2500 0.2859 x4
Tl 0.0000 0.2500 0.8907 x4
Tl 0.2475 0.0127 0.6661 x16
Cd 0.2500 0.2500 0.7500 x4

Calculated values
energy	-1.8659	eV per atom

No. 11
## Cs2NaTl12Cd3 (PBE)

Data for a relaxed structure of Cs2NaTl12Cd3.

Lattice parameters (Å, degrees): 11.6769 11.6769 15.7786 90.00 90.00 120.00
Space group R-3m (No. 166, hexagonal axes)
One atom of each set of equivalent atoms:
Cs 0.0000 0.0000 0.2395 x6
Na 0.0000 0.0000 0.5000 x3
Tl 0.0156 0.5078 0.1989 x18
Tl 0.0478 0.5239 0.6010 x18
Cd 0.0000 0.5000 0.0000 x9

Calculated values
energy	-1.8520	eV per atom

No. 12
## CsNaZnCd2 (PBE)

Data for a relaxed structure of CsNaZnCd2.

Lattice parameters (Å, degrees): 5.3254 5.3254 5.9290 90.00 90.00 90.00
Space group P4/mmm (No. 123)
One atom of each set of equivalent atoms:
Cs 0.0000 0.0000 0.0000 x1
Na 0.5000 0.5000 0.0000 x1
Zn 0.5000 0.5000 0.5000 x1
Cd 0.0000 0.5000 0.5000 x2

Calculated values
energy	-1.0056	eV per atom